Entry 1:
VASP calculation (PBE-GGA) on crystalline Pu2MnSi at its relaxed geometry.

```
data_Pu2MnSi
_chemical_formula_sum 'Pu2 Mn1 Si1'
_cell_length_a 2.953
_cell_length_b 2.953
_cell_length_c 10.072
_cell_angle_alpha 81.57
_cell_angle_beta 81.57
_cell_angle_gamma 60.00
_symmetry_space_group_name_H-M 'P 1'
_symmetry_Int_Tables_number 1
_symmetry_space_group_name_Hall 'P 1'
loop_
_atom_site_label
_atom_site_type_symbol
_atom_site_fract_x
_atom_site_fract_y
_atom_site_fract_z
Pu1 Pu 0.083 0.083 0.750
Pu2 Pu 0.917 0.917 0.250
Mn1 Mn 0.000 0.000 0.000
Si1 Si 0.500 0.500 0.500
```

---

Entry 2:
VASP calculation (PBE-GGA) on crystalline La2WSe at its relaxed geometry.

Summary:
Distance to the lowest polymorph of the same formula = 0.345 eV per atom

```
data_La2WSe
_chemical_formula_sum 'La2 W1 Se1'
_cell_length_a 6.154
_cell_length_b 6.154
_cell_length_c 6.154
_cell_angle_alpha 138.64
_cell_angle_beta 138.64
_cell_angle_gamma 59.93
_symmetry_space_group_name_H-M 'P 1'
_symmetry_Int_Tables_number 1
_symmetry_space_group_name_Hall 'P 1'
loop_
_atom_site_label
_atom_site_type_symbol
_atom_site_fract_x
_atom_site_fract_y
_atom_site_fract_z
La1 La 0.000 0.000 0.000
La2 La 0.250 0.750 0.500
Se1 Se 0.500 0.500 0.000
W1 W 0.750 0.250 0.500
```

---

Computed values of energy relative to the elements, uncorrected (unit: eV/atom) for the preceding records, in sequence: 0.341, 0.058.